A relaxed structure of CaZnPb, computed with PBE-GGA.

Results
* ΔH_f (0 K): -0.294 eV per atom
* N(E_F): 0.33 states/eV per atom
* SG: No. 156
* energy: -7.867 eV per cell
* spin magnetization: 0.00 μB per cell
* crystal system: trigonal

Lattice parameters (Å, degrees): 4.7900 4.7900 3.9675 90.00 90.00 120.00
Last column: nearest neighbours and their distance in Å.
Atoms (fractional coordinates):
Pb 0.6667 0.3333 0.4512  3 Zn 2.80
Zn 0.3333 0.6667 0.5610  3 Pb 2.80
Ca 0.0000 0.0000 0.9878  6 Zn 3.24-3.58, 6 Pb 3.32-3.49